Record 1
A relaxed structure of NaThS2O8, computed with PBE-GGA.

As for the crystal system: trigonal.

The space group is P-3m1 (No. 164) and the conventional cell measures 5.3053, 5.3053 and 7.6687 Å, with angles of 90.00, 90.00 and 120.00 degrees. The asymmetric unit holds Na at (0.0000, 0.0000, 0.0000), Th at (0.0000, 0.0000, 0.5000), S at (0.3333, 0.6667, 0.7942), O at (0.1805, 0.3610, 0.7234) and O at (0.3333, 0.6667, 0.9826).

=====

Record 2
A relaxed structure of Na2TiS2O, computed with PBE-GGA.

As for the crystal system: monoclinic.

The space group is P2_1/c (No. 14) and the conventional cell measures 6.942, 13.752 and 5.794 Å, with angles of 90.00, 113.26 and 90.00 degrees. The asymmetric unit holds Na at (0.103, 0.139, 0.044), Na at (0.287, 0.557, 0.148), Ti at (0.479, 0.183, 0.663), S at (0.140, 0.143, 0.559), S at (0.309, 0.559, 0.648) and O at (0.480, 0.709, 0.131).

=====

Record 3
A relaxed structure of NaTiS2O8, computed with PBE-GGA.

As for the crystal system: trigonal.

The space group is P-3 (No. 147) and the conventional cell measures 4.9827, 4.9827 and 7.4775 Å, with angles of 90.00, 90.00 and 120.00 degrees. The asymmetric unit holds Na at (0.0000, 0.0000, 0.0000), Ti at (0.0000, 0.0000, 0.5000), S at (0.3333, 0.6667, 0.7366), O at (0.0871, 0.3584, 0.6672) and O at (0.3333, 0.6667, 0.9309).

=====

Record 4
A relaxed structure of Na2US2O2, computed with PBE-GGA.

As for the crystal system: triclinic.

The space group is P-1 (No. 2) and the conventional cell measures 3.509, 4.988 and 7.782 Å, with angles of 100.17, 90.60 and 92.96 degrees. The asymmetric unit holds Na at (0.003, 0.297, 0.147), U at (0.500, 0.000, 0.500), S at (0.497, 0.212, 0.822) and O at (0.069, 0.220, 0.444).

=====

How do the records compare in energy relative to the elements, uncorrected? In the order shown, they have -1.8327; -1.7168; -1.7711; -1.8345 eV/atom.